VASP calculation (PBE) on GaFeAgHg after structural relaxation.

Properties
The value obtained for the total energy is -3.323 eV per atom. The calculation puts the size of the total moment at 10.132 μB per cell.

a b c (Å): 6.5015 6.5015 6.5015
angles (deg): 90.00 90.00 90.00
Space group F-43m (No. 216)
Inequivalent atoms, fractional coordinates:
Ga1 0.0000 0.0000 0.0000
Fe1 0.2500 0.2500 0.2500
Ag1 0.2500 0.2500 0.7500
Hg1 0.0000 0.0000 0.5000

VASP calculation (PBE) on GaFeAgIr after structural relaxation.

Properties
The value obtained for the total energy is -5.598 eV per atom. The calculation puts the size of the total moment at 11.533 μB per cell.

a b c (Å): 6.1862 6.1862 6.1862
angles (deg): 90.00 90.00 90.00
Space group F-43m (No. 216)
Inequivalent atoms, fractional coordinates:
Ga1 0.0000 0.0000 0.0000
Fe1 0.2500 0.2500 0.2500
Ag1 0.0000 0.0000 0.5000
Ir1 0.2500 0.2500 0.7500

VASP calculation (PBE) on LiGaFeAg after structural relaxation.

Properties
The value obtained for the total energy is -3.983 eV per atom. The calculation puts the size of the total moment at 9.951 μB per cell.

a b c (Å): 6.0987 6.0987 6.0987
angles (deg): 90.00 90.00 90.00
Space group F-43m (No. 216)
Inequivalent atoms, fractional coordinates:
Li1 0.0000 0.0000 0.0000
Ga1 0.0000 0.0000 0.5000
Fe1 0.2500 0.2500 0.7500
Ag1 0.2500 0.2500 0.2500

VASP calculation (PBE) on LiGaFeAg after structural relaxation.

Properties
The value obtained for the total energy is -4.013 eV per atom. The calculation puts the size of the total moment at 10.341 μB per cell.

a b c (Å): 6.1491 6.1491 6.1491
angles (deg): 90.00 90.00 90.00
Space group F-43m (No. 216)
Inequivalent atoms, fractional coordinates:
Li1 0.0000 0.0000 0.0000
Ga1 0.2500 0.2500 0.2500
Fe1 0.0000 0.0000 0.5000
Ag1 0.2500 0.2500 0.7500

VASP calculation (PBE) on GaFeNiAg after structural relaxation.

Properties
The value obtained for the total energy is -4.833 eV per atom. The calculation puts the size of the total moment at 10.589 μB per cell.

a b c (Å): 6.0266 6.0266 6.0266
angles (deg): 90.00 90.00 90.00
Space group F-43m (No. 216)
Inequivalent atoms, fractional coordinates:
Ga1 0.0000 0.0000 0.0000
Fe1 0.2500 0.2500 0.2500
Ni1 0.2500 0.2500 0.7500
Ag1 0.0000 0.0000 0.5000

VASP calculation (PBE) on GaFeNiAg after structural relaxation.

Properties
The value obtained for the total energy is -4.839 eV per atom. The calculation puts the size of the total moment at 12.185 μB per cell.

a b c (Å): 6.0388 6.0388 6.0388
angles (deg): 90.00 90.00 90.00
Space group F-43m (No. 216)
Inequivalent atoms, fractional coordinates:
Ga1 0.0000 0.0000 0.0000
Fe1 0.2500 0.2500 0.2500
Ni1 0.0000 0.0000 0.5000
Ag1 0.2500 0.2500 0.7500

Copy entry 3 word for word.
VASP calculation (PBE) on LiGaFeAg after structural relaxation.

Properties
The value obtained for the total energy is -3.983 eV per atom. The calculation puts the size of the total moment at 9.951 μB per cell.

a b c (Å): 6.0987 6.0987 6.0987
angles (deg): 90.00 90.00 90.00
Space group F-43m (No. 216)
Inequivalent atoms, fractional coordinates:
Li1 0.0000 0.0000 0.0000
Ga1 0.0000 0.0000 0.5000
Fe1 0.2500 0.2500 0.7500
Ag1 0.2500 0.2500 0.2500